SnPd3Au3: relaxed, PBE.

a b c (Å): 5.6660 5.6660 27.9985
angles (deg): 90.00 90.00 120.00
Space group R-3m (No. 166, hexagonal axes)
Symmetry-distinct sites (fractional):
Sn 0.0000 0.0000 0.1299 [6 per cell]
Pd 0.0053 0.5026 0.1235 [18 per cell]
Au 0.0051 0.5025 0.3739 [18 per cell]

Results
As for the raw total energy: -4.39 eV/atom.


Li4AlCdAg2: relaxed, PBE.

a b c (Å): 4.4951 4.4951 6.3409
angles (deg): 90.00 90.00 90.00
Space group P-4m2 (No. 115)
Symmetry-distinct sites (fractional):
Li 0.0000 0.0000 0.0000 [1 per cell]
Li 0.0000 0.5000 0.2455 [2 per cell]
Li 0.5000 0.5000 0.5000 [1 per cell]
Al 0.5000 0.5000 0.0000 [1 per cell]
Cd 0.0000 0.0000 0.5000 [1 per cell]
Ag 0.0000 0.5000 0.7740 [2 per cell]

Results
As for the raw total energy: -2.48 eV/atom.


LaHoAl6: relaxed, PBE.

a b c (Å): 6.4883 6.4883 4.5822
angles (deg): 90.00 90.00 120.00
Space group P-6m2 (No. 187)
Symmetry-distinct sites (fractional):
La 0.0000 0.0000 0.0000 [1 per cell]
Ho 0.3333 0.6667 0.5000 [1 per cell]
Al 0.3855 0.1928 0.5000 [3 per cell]
Al 0.5213 0.0427 0.0000 [3 per cell]

Results
As for the raw total energy: -4.42 eV/atom.